# 1
! PBEsol CuNi2Ir, relaxed; values from VASP
! - Spin magnetization: 0.0 μB/f.u.
! - Energy of formation: 0.050 eV/atom
&SYSTEM
  ibrav = 0, nat = 4, ntyp = 3
/
ATOMIC_SPECIES
Ni 58.69 Ni.upf
Ir 192.22 Ir.upf
Cu 63.55 Cu.upf
CELL_PARAMETERS angstrom
2.5745 0.0000 0.0000
0.0000 3.5624 0.0000
0.0000 0.0000 5.0710
ATOMIC_POSITIONS crystal
Ni 0.0000 0.0000 0.2498
Ni 0.0000 0.0000 0.7502
Ir 0.5000 0.5000 0.5000
Cu 0.5000 0.5000 0.0000

# 2
! PBEsol LiMg2Pb, relaxed; values from VASP
! - Spin magnetization: 0.0 μB/f.u.
! - Energy of formation: -0.137 eV/atom
&SYSTEM
  ibrav = 0, nat = 4, ntyp = 3
/
ATOMIC_SPECIES
Pb 207.20 Pb.upf
Mg 24.30 Mg.upf
Li 6.94 Li.upf
CELL_PARAMETERS angstrom
3.3623 0.0000 0.0081
0.0000 4.2184 0.0000
-0.0170 0.0000 6.2311
ATOMIC_POSITIONS crystal
Pb 0.9999 0.0000 0.5091
Mg 0.0001 0.0000 0.9952
Li 0.4997 0.5000 0.7465
Mg 0.5004 0.5000 0.2491